A relaxed structure of DySc3In4. Source: Alexandria via LeMat-Bulk, functional GGA-PBE.

## Properties
ΔE_f, kJ/mol of formula units: -327

abc: 10.3567 6.7704 5.3602
angles: 90.00 90.00 90.00
Closest atoms and distances in Å follow each position.
Space group Pmma (No. 51)
Asymmetric unit:
1 Dy 0.0000 0.0000 0.0000 [2 per cell]  8 In 3.19-3.21, 4 Sc 3.37-3.39
2 Sc 0.0000 0.5000 0.0000 [2 per cell]  8 In 3.12-3.13, 2 Sc 3.31, 2 Dy 3.39
3 Sc 0.2500 0.0000 0.4025 [2 per cell]  8 In 3.13-3.28, 2 Dy 3.37, 2 Sc 3.39
4 Sc 0.2500 0.5000 0.3837 [2 per cell]  8 In 3.12-3.14, 4 Sc 3.31-3.39
5 In 0.0000 0.2600 0.5000 [4 per cell]  6 Sc 3.12-3.17, 2 Dy 3.21, 3 In 3.25-3.31
6 In 0.2500 0.2596 0.8856 [4 per cell]  6 Sc 3.12-3.28, 2 Dy 3.19, 3 In 3.26-3.31